A relaxed structure of Pm2Si4IrPd3, computed with GGA-PBE.

Output
The calculation puts the energy at -6.482 eV per atom. Its crystal system is tetragonal.

a b c (Å): 4.188 4.188 10.052
angles (deg): 90.00 90.00 90.00
Positions (direct):
Pm: 0.000 0.500 0.755
Pm: 0.500 0.000 0.245
Pd: 0.000 0.500 0.126
Pd: 0.000 0.000 0.500
Pd: 0.500 0.000 0.874
Ir: 0.500 0.500 0.500
Si: 0.000 0.000 0.000
Si: 0.500 0.000 0.630
Si: 0.500 0.500 0.000
Si: 0.000 0.500 0.370